Below is a relaxed structure of BeNi6W, with properties calculated at the PBEsol level.

Lattice parameters (Å, degrees): 6.947 9.916 9.914 90.00 90.00 90.00
Space group Cmmm (No. 65)
One atom of each set of equivalent atoms:
Be: 0.000 0.000 0.236 (multiplicity 4)
Be: 0.000 0.259 0.000 (multiplicity 4)
Ni: 0.000 0.000 0.000 (multiplicity 2)
Ni: 0.000 0.000 0.500 (multiplicity 2)
Ni: 0.000 0.248 0.246 (multiplicity 8)
Ni: 0.000 0.500 0.000 (multiplicity 2)
Ni: 0.000 0.500 0.500 (multiplicity 2)
Ni: 0.245 0.123 0.372 (multiplicity 16)
Ni: 0.245 0.126 0.122 (multiplicity 16)
W: 0.000 0.255 0.500 (multiplicity 4)
W: 0.000 0.500 0.239 (multiplicity 4)

Results
Final energy = -7.01 eV/atom
Magnetization = 0.00 μB/atom